Record 1
ZnHIr after structural relaxation, computed with GGA-PBE.

Structure (CIF):
```
data_ZnHIr
_cell_length_a 3.3795
_cell_length_b 3.3795
_cell_length_c 7.0308
_cell_angle_alpha 90.00
_cell_angle_beta 90.00
_cell_angle_gamma 90.00
_symmetry_space_group_name_H-M 'I 4 m m'
_symmetry_Int_Tables_number 107
_symmetry_space_group_name_Hall 'I 4 -2'
loop_
_atom_site_label
_atom_site_fract_x
_atom_site_fract_y
_atom_site_fract_z
Zn1 0.0000 0.0000 0.0000
H1 0.0000 0.0000 0.3701
Ir1 0.0000 0.0000 0.5952
```

Values from the calculation:
Spin magnetization in μB/atom: 0.000
D(E_F) in states/eV/cell: 1.72
Polymorph energy (0 for the lowest one) in eV per atom: 0.421
Final energy in eV per atom: -4.0606

***

Record 2
MnIn4I6 after structural relaxation, computed with GGA-PBE.

Structure (CIF):
```
data_MnIn4I6
_cell_length_a 18.1219
_cell_length_b 8.8742
_cell_length_c 15.2350
_cell_angle_alpha 90.00
_cell_angle_beta 119.41
_cell_angle_gamma 90.00
_symmetry_space_group_name_H-M 'C 1 c 1'
_symmetry_Int_Tables_number 9
_symmetry_space_group_name_Hall 'C -2yc'
loop_
_atom_site_label
_atom_site_fract_x
_atom_site_fract_y
_atom_site_fract_z
Mn1 0.0000 0.2456 0.0000
In1 0.0668 0.3683 0.7692
In2 0.2281 0.1040 0.2696
In3 0.2852 0.4134 0.5835
In4 0.4506 0.2973 0.9015
I1 0.0056 0.0036 0.1102
I2 0.1268 0.2898 0.3729
I3 0.1604 0.2788 0.0335
I4 0.2365 0.2817 0.7505
I5 0.4064 0.3313 0.3041
I6 0.4209 0.0199 0.5290
```

Values from the calculation:
Spin magnetization in μB/atom: 0.449
D(E_F) in states/eV/cell: 0.00
Final energy in eV per atom: -3.0970

***

Record 3
Ta2TeOs after structural relaxation, computed with GGA-PBE.

Structure (CIF):
```
data_Ta2TeOs
_cell_length_a 4.7600
_cell_length_b 4.7600
_cell_length_c 3.1774
_cell_angle_alpha 90.00
_cell_angle_beta 90.00
_cell_angle_gamma 90.00
_symmetry_space_group_name_H-M 'P 4/m m m'
_symmetry_Int_Tables_number 123
_symmetry_space_group_name_Hall '-P 4 2'
loop_
_atom_site_label
_atom_site_fract_x
_atom_site_fract_y
_atom_site_fract_z
Ta1 0.0000 0.5000 0.0000
Te1 0.0000 0.0000 0.5000
Os1 0.5000 0.5000 0.5000
```

Values from the calculation:
Spin magnetization in μB/atom: 0.000
D(E_F) in states/eV/cell: 5.25
Final energy in eV per atom: -9.1986

***

Which of these has the highest spin magnetization?
MnIn4I6